## Sr2Li3AlZn12 (PBE)

Data for Sr2Li3AlZn12 after structural relaxation.

extended XYZ file:
```
18
Lattice="-8.687 -5.523 -3.165 -4.192 -9.802 -1.529 -7.683 -6.917 3.019" Properties=species:S:1:pos:R:3 pbc="T T T"
Sr -7.254 -7.847 -0.591
Zn -11.627 -12.025 0.497
Zn -6.412 -4.789 -1.884
Zn -8.537 -10.769 0.278
Zn -10.244 -13.168 -1.305
Zn -12.025 -11.473 -1.953
Zn -14.150 -17.453 0.209
Zn -8.935 -10.217 -2.172
Zn -3.921 -7.161 -0.978
Zn -16.641 -15.082 -0.697
Li -4.344 -2.761 -1.582
Zn -5.856 -5.562 1.543
Li -3.841 -3.459 1.510
Li -2.096 -4.901 -0.765
Zn -10.318 -9.074 -0.370
Al 0.000 0.000 0.000
Zn -14.706 -16.680 -3.218
Sr -13.308 -14.395 -1.084
```

## Properties
Uncorrected energy = -1.583 eV/atom
M_tot = 0.0 μB per formula unit
Volume = 360.8 Å³ per cell

## LiTaAl2 (PBE)

Data for LiTaAl2 after structural relaxation.

extended XYZ file:
```
4
Lattice="2.996 0.000 0.000 0.000 3.009 0.015 0.000 2.979 6.927" Properties=species:S:1:pos:R:3 pbc="T T T"
Al 0.000 2.995 3.315
Li 1.498 1.497 1.735
Ta 1.498 4.491 5.206
Al 0.000 3.008 0.171
```

## Properties
Uncorrected energy = -5.485 eV/atom
M_tot = 0.0 μB per formula unit
Volume = 62.3 Å³ per cell